(1)
This record from OQMD describes Sb2W after structural relaxation. The functional is PBE.

POSCAR file:
```
Sb2W
1.0
-4.708 2.313 -1.158
-3.277 0.897 -4.161
-0.129 -7.473 3.462
W Sb
2 4
direct
0.647 0.647 0.694 W
0.353 0.353 0.306 W
0.096 0.096 0.389 Sb
0.652 0.652 0.041 Sb
0.904 0.904 0.611 Sb
0.348 0.348 0.959 Sb
```

Output
- E above lowest polymorph (meV per atom) = 0
- E (eV/atom) = -6.823
- total moment (Bohr magnetons per cell) = 0.0
- density (g cm⁻³) = 10.85

(2)
This record from OQMD describes CoNi3Se2S2 after structural relaxation. The functional is PBE.

POSCAR file:
```
CoNi3Se2S2
1.0
1.266 2.303 -4.502
-3.263 -3.241 -2.454
-3.891 3.421 0.656
Ni Se Co S
3 2 1 2
direct
0.000 0.500 0.985 Ni
0.000 0.000 0.508 Ni
0.500 0.000 0.985 Ni
0.736 0.736 0.256 Se
0.264 0.264 0.256 Se
0.000 0.000 0.001 Co
0.761 0.239 0.755 S
0.239 0.761 0.755 S
```

Output
- E (eV/atom) = -5.209
- total moment (Bohr magnetons per cell) = 1.6
- density (g cm⁻³) = 5.35

(3)
This record from OQMD describes PmAlCo after structural relaxation. The functional is PBE.

POSCAR file:
```
PmAlCo
1.0
0.000 3.289 3.289
3.289 0.000 3.289
3.289 3.289 0.000
Pm Al Co
1 1 1
direct
0.000 0.000 0.000 Pm
0.250 0.250 0.250 Al
0.750 0.750 0.750 Co
```

Output
- E (eV/atom) = -4.437
- total moment (Bohr magnetons per cell) = 0.5
- density (g cm⁻³) = 5.39

(4)
This record from OQMD describes Gd2HoMg3In3 after structural relaxation. The functional is PBE.

POSCAR file:
```
Gd2HoMg3In3
1.0
4.687 0.000 0.000
0.000 6.504 3.778
0.000 -6.504 3.778
In Ho Mg Gd
3 1 3 2
direct
0.000 0.998 0.998 In
0.500 0.335 0.666 In
0.500 0.666 0.335 In
0.000 0.566 0.566 Ho
0.500 0.758 0.000 Mg
0.500 0.000 0.758 Mg
0.500 0.241 0.241 Mg
0.000 0.000 0.435 Gd
0.000 0.435 0.000 Gd
```

Output
- E (eV/atom) = -3.371
- total moment (Bohr magnetons per cell) = 0.0
- density (g cm⁻³) = 6.47

What did the fourth record say?
This record from OQMD describes Gd2HoMg3In3 after structural relaxation. The functional is PBE.

POSCAR file:
```
Gd2HoMg3In3
1.0
4.687 0.000 0.000
0.000 6.504 3.778
0.000 -6.504 3.778
In Ho Mg Gd
3 1 3 2
direct
0.000 0.998 0.998 In
0.500 0.335 0.666 In
0.500 0.666 0.335 In
0.000 0.566 0.566 Ho
0.500 0.758 0.000 Mg
0.500 0.000 0.758 Mg
0.500 0.241 0.241 Mg
0.000 0.000 0.435 Gd
0.000 0.435 0.000 Gd
```

Output
- E (eV/atom) = -3.371
- total moment (Bohr magnetons per cell) = 0.0
- density (g cm⁻³) = 6.47

What is the formula in the first record? Sb2W

Which of these has the lowest E? Sb2W

Which value of E does entry 2 give? -5.209 eV/atom